Record 1
## Tl2MoP (PBE)

Data for a geometry-optimized Tl2MoP structure.

```
data_Tl2MoP
_chemical_formula_sum 'Tl4 Mo2 P2'
_cell_length_a 3.5264
_cell_length_b 4.9428
_cell_length_c 9.3682
_cell_angle_alpha 90.00
_cell_angle_beta 90.00
_cell_angle_gamma 90.00
_space_group_name_H-M_alt 'I m m m'
_space_group_IT_number 71
_space_group_name_Hall '-I 2 2'
loop_
_atom_site_label
_atom_site_type_symbol
_atom_site_fract_x
_atom_site_fract_y
_atom_site_fract_z
Tl1 Tl 0.0000 0.0000 0.2385
Mo1 Mo 0.0000 0.5000 0.0000
P1 P 0.0000 0.5000 0.5000
```

- Energy above the most stable polymorph in this dataset: 0.765 eV per atom
- Formation energy from the elements: 838.7 meV per atom



Record 2
## Tl2MoP (PBE)

Data for a geometry-optimized Tl2MoP structure.

```
data_Tl2MoP
_chemical_formula_sum 'Tl2 Mo1 P1'
_cell_length_a 2.9919
_cell_length_b 2.9919
_cell_length_c 9.3671
_cell_angle_alpha 90.00
_cell_angle_beta 90.00
_cell_angle_gamma 90.00
_space_group_name_H-M_alt 'P 4/m m m'
_space_group_IT_number 123
_space_group_name_Hall '-P 4 2'
loop_
_atom_site_label
_atom_site_type_symbol
_atom_site_fract_x
_atom_site_fract_y
_atom_site_fract_z
Tl1 Tl 0.0000 0.0000 0.2427
Mo1 Mo 0.5000 0.5000 0.0000
P1 P 0.5000 0.5000 0.5000
```

- Energy above the most stable polymorph in this dataset: 0.880 eV per atom
- Formation energy from the elements: 954.4 meV per atom



Record 3
## TlMo2PW (PBE)

Data for a geometry-optimized TlMo2PW structure.

```
data_TlMo2PW
_chemical_formula_sum 'Tl1 Mo2 P1 W1'
_cell_length_a 4.8212
_cell_length_b 4.8212
_cell_length_c 5.2654
_cell_angle_alpha 90.00
_cell_angle_beta 90.00
_cell_angle_gamma 90.00
_space_group_name_H-M_alt 'P 4/m m m'
_space_group_IT_number 123
_space_group_name_Hall '-P 4 2'
loop_
_atom_site_label
_atom_site_type_symbol
_atom_site_fract_x
_atom_site_fract_y
_atom_site_fract_z
Tl1 Tl 0.0000 0.0000 0.0000
Mo1 Mo 0.0000 0.5000 0.5000
P1 P 0.5000 0.5000 0.0000
W1 W 0.0000 0.0000 0.5000
```

- Formation energy from the elements: 1902.8 meV per atom



Record 4
## UMo13P9 (PBE)

Data for a geometry-optimized UMo13P9 structure.

```
data_UMo13P9
_chemical_formula_sum 'U1 Mo13 P9'
_cell_length_a 10.8880
_cell_length_b 10.8880
_cell_length_c 3.3133
_cell_angle_alpha 90.00
_cell_angle_beta 90.00
_cell_angle_gamma 120.00
_space_group_name_H-M_alt 'P -6 m 2'
_space_group_IT_number 187
_space_group_name_Hall 'P -6 2'
loop_
_atom_site_label
_atom_site_type_symbol
_atom_site_fract_x
_atom_site_fract_y
_atom_site_fract_z
U1 U 0.0000 0.0000 0.0000
Mo1 Mo 0.0542 0.3830 0.0000
Mo2 Mo 0.2814 0.1407 0.5000
Mo3 Mo 0.3333 0.6667 0.0000
Mo4 Mo 0.5742 0.1483 0.5000
P1 P 0.1274 0.2548 0.5000
P2 P 0.1401 0.5700 0.5000
P3 P 0.4655 0.2327 0.0000
```

- Formation energy from the elements: -560.2 meV per atom



Record 5
## U2Mo2P3 (PBE)

Data for a geometry-optimized U2Mo2P3 structure.

```
data_U2Mo2P3
_chemical_formula_sum 'U8 Mo8 P12'
_cell_length_a 14.5536
_cell_length_b 3.5650
_cell_length_c 11.9006
_cell_angle_alpha 90.00
_cell_angle_beta 123.19
_cell_angle_gamma 90.00
_space_group_name_H-M_alt 'C 1 2/m 1'
_space_group_IT_number 12
loop_
_space_group_symop_operation_xyz
'x,y,z'
'-x,-y,-z'
'-x,y,-z'
'x,-y,z'
'x+1/2,y+1/2,z'
'-x+1/2,-y+1/2,-z'
'-x+1/2,y+1/2,-z'
'x+1/2,-y+1/2,z'
loop_
_atom_site_label
_atom_site_type_symbol
_atom_site_fract_x
_atom_site_fract_y
_atom_site_fract_z
U1 U 0.1006 0.0000 0.4581
U2 U 0.2319 0.0000 0.8351
Mo1 Mo 0.0379 0.5000 0.8037
Mo2 Mo 0.0874 0.0000 0.1531
P1 P 0.0874 0.5000 0.6371
P2 P 0.1170 0.0000 0.9693
P3 P 0.1705 0.5000 0.3241
```

- Formation energy from the elements: -596.2 meV per atom



Record 6
## UMo4P2 (PBE)

Data for a geometry-optimized UMo4P2 structure.

```
data_UMo4P2
_chemical_formula_sum 'U2 Mo8 P4'
_cell_length_a 4.2677
_cell_length_b 13.9074
_cell_length_c 3.8757
_cell_angle_alpha 90.00
_cell_angle_beta 90.00
_cell_angle_gamma 90.00
_space_group_name_H-M_alt 'C m m m'
_space_group_IT_number 65
_space_group_name_Hall '-C 2 2'
loop_
_atom_site_label
_atom_site_type_symbol
_atom_site_fract_x
_atom_site_fract_y
_atom_site_fract_z
U1 U 0.0000 0.0000 0.0000
Mo1 Mo 0.0000 0.1698 0.5000
Mo2 Mo 0.0000 0.3087 0.0000
P1 P 0.0000 0.4188 0.5000
```

- Formation energy from the elements: -308.9 meV per atom



Record 7
## UMoP2 (PBE)

Data for a geometry-optimized UMoP2 structure.

```
data_UMoP2
_chemical_formula_sum 'U3 Mo3 P6'
_cell_length_a 3.3996
_cell_length_b 3.3996
_cell_length_c 21.0992
_cell_angle_alpha 90.00
_cell_angle_beta 90.00
_cell_angle_gamma 120.00
_space_group_name_H-M_alt 'R 3 m'
_space_group_IT_number 160
_space_group_name_Hall 'R 3 -2"'
loop_
_atom_site_label
_atom_site_type_symbol
_atom_site_fract_x
_atom_site_fract_y
_atom_site_fract_z
U1 U 0.0000 0.0000 0.0000
Mo1 Mo 0.0000 0.0000 0.8306
P1 P 0.0000 0.0000 0.4281
P2 P 0.0000 0.0000 0.5699
```

- Energy above the most stable polymorph in this dataset: 0.000 eV per atom
- Formation energy from the elements: -572.0 meV per atom



Record 8
## UMoP2 (PBE)

Data for a geometry-optimized UMoP2 structure.

```
data_UMoP2
_chemical_formula_sum 'U3 Mo3 P6'
_cell_length_a 2.9877
_cell_length_b 2.9877
_cell_length_c 27.7861
_cell_angle_alpha 90.00
_cell_angle_beta 90.00
_cell_angle_gamma 120.00
_space_group_name_H-M_alt 'R -3 m'
_space_group_IT_number 166
_space_group_name_Hall '-R 3 2"'
loop_
_atom_site_label
_atom_site_type_symbol
_atom_site_fract_x
_atom_site_fract_y
_atom_site_fract_z
U1 U 0.0000 0.0000 0.0000
Mo1 Mo 0.0000 0.0000 0.5000
P1 P 0.0000 0.0000 0.1027
```

- Energy above the most stable polymorph in this dataset: 0.499 eV per atom
- Formation energy from the elements: -73.4 meV per atom



Record 9
## VMoP (PBE)

Data for a geometry-optimized VMoP structure.

```
data_VMoP
_chemical_formula_sum 'V1 Mo1 P1'
_cell_length_a 4.2467
_cell_length_b 4.2467
_cell_length_c 2.7394
_cell_angle_alpha 90.00
_cell_angle_beta 90.00
_cell_angle_gamma 120.00
_space_group_name_H-M_alt 'P 3 m 1'
_space_group_IT_number 156
loop_
_space_group_symop_operation_xyz
'x,y,z'
'-y,x-y,z'
'-x+y,-x,z'
'-y,-x,z'
'-x+y,y,z'
'x,x-y,z'
loop_
_atom_site_label
_atom_site_type_symbol
_atom_site_fract_x
_atom_site_fract_y
_atom_site_fract_z
V1 V 0.0000 0.0000 0.0000
Mo1 Mo 0.3333 0.6667 0.6601
P1 P 0.6667 0.3333 0.8506
```

- Formation energy from the elements: -170.6 meV per atom



Record 10
## V2MoP2 (PBE)

Data for a geometry-optimized V2MoP2 structure.

```
data_V2MoP2
_chemical_formula_sum 'V4 Mo2 P4'
_cell_length_a 6.4123
_cell_length_b 6.4123
_cell_length_c 3.1968
_cell_angle_alpha 90.00
_cell_angle_beta 90.00
_cell_angle_gamma 90.00
_space_group_name_H-M_alt 'P 4/m b m'
_space_group_IT_number 127
_space_group_name_Hall '-P 4 2ab'
loop_
_atom_site_label
_atom_site_type_symbol
_atom_site_fract_x
_atom_site_fract_y
_atom_site_fract_z
V1 V 0.1511 0.3489 0.0000
Mo1 Mo 0.0000 0.0000 0.5000
P1 P 0.1415 0.6415 0.5000
```

- Formation energy from the elements: -586.9 meV per atom



Record 11
## V2MoP (PBE)

Data for a geometry-optimized V2MoP structure.

```
data_V2MoP
_chemical_formula_sum 'V8 Mo4 P4'
_cell_length_a 7.0719
_cell_length_b 7.0719
_cell_length_c 4.7887
_cell_angle_alpha 90.00
_cell_angle_beta 90.00
_cell_angle_gamma 90.00
_space_group_name_H-M_alt 'I -4 2 d'
_space_group_IT_number 122
_space_group_name_Hall 'I -4 2bw'
loop_
_atom_site_label
_atom_site_type_symbol
_atom_site_fract_x
_atom_site_fract_y
_atom_site_fract_z
V1 V 0.1870 0.2500 0.1250
Mo1 Mo 0.0000 0.0000 0.5000
P1 P 0.0000 0.0000 0.0000
```

- Formation energy from the elements: 164.8 meV per atom



Record 12
## VMo3P (PBE)

Data for a geometry-optimized VMo3P structure.

```
data_VMo3P
_chemical_formula_sum 'V1 Mo3 P1'
_cell_length_a 4.4348
_cell_length_b 4.4348
_cell_length_c 4.4348
_cell_angle_alpha 90.00
_cell_angle_beta 90.00
_cell_angle_gamma 90.00
_space_group_name_H-M_alt 'P m -3 m'
_space_group_IT_number 221
_space_group_name_Hall '-P 4 2 3'
loop_
_atom_site_label
_atom_site_type_symbol
_atom_site_fract_x
_atom_site_fract_y
_atom_site_fract_z
V1 V 0.0000 0.0000 0.0000
Mo1 Mo 0.0000 0.5000 0.5000
P1 P 0.5000 0.5000 0.5000
```

- Energy above the most stable polymorph in this dataset: 0.000 eV per atom
- Formation energy from the elements: 638.8 meV per atom



Record 13
## VMo3P (PBE)

Data for a geometry-optimized VMo3P structure.

```
data_VMo3P
_chemical_formula_sum 'V1 Mo3 P1'
_cell_length_a 4.5167
_cell_length_b 4.5167
_cell_length_c 4.5167
_cell_angle_alpha 90.00
_cell_angle_beta 90.00
_cell_angle_gamma 90.00
_space_group_name_H-M_alt 'P m -3 m'
_space_group_IT_number 221
_space_group_name_Hall '-P 4 2 3'
loop_
_atom_site_label
_atom_site_type_symbol
_atom_site_fract_x
_atom_site_fract_y
_atom_site_fract_z
V1 V 0.0000 0.0000 0.0000
Mo1 Mo 0.0000 0.0000 0.5000
P1 P 0.5000 0.5000 0.5000
```

- Energy above the most stable polymorph in this dataset: 0.853 eV per atom
- Formation energy from the elements: 1491.6 meV per atom



Record 14
## V5MoP2 (PBE)

Data for a geometry-optimized V5MoP2 structure.

```
data_V5MoP2
_chemical_formula_sum 'V10 Mo2 P4'
_cell_length_a 3.2472
_cell_length_b 7.4639
_cell_length_c 8.9231
_cell_angle_alpha 90.00
_cell_angle_beta 90.00
_cell_angle_gamma 90.00
_space_group_name_H-M_alt 'I m m m'
_space_group_IT_number 71
_space_group_name_Hall '-I 2 2'
loop_
_atom_site_label
_atom_site_type_symbol
_atom_site_fract_x
_atom_site_fract_y
_atom_site_fract_z
V1 V 0.0000 0.0000 0.0000
V2 V 0.0000 0.3136 0.3459
Mo1 Mo 0.0000 0.5000 0.0000
P1 P 0.0000 0.0000 0.2791
```

- Formation energy from the elements: -412.3 meV per atom



Record 15
## VMoP3 (PBE)

Data for a geometry-optimized VMoP3 structure.

```
data_VMoP3
_chemical_formula_sum 'V1 Mo1 P3'
_cell_length_a 4.5018
_cell_length_b 4.5018
_cell_length_c 4.5018
_cell_angle_alpha 90.00
_cell_angle_beta 90.00
_cell_angle_gamma 90.00
_space_group_name_H-M_alt 'P m -3 m'
_space_group_IT_number 221
_space_group_name_Hall '-P 4 2 3'
loop_
_atom_site_label
_atom_site_type_symbol
_atom_site_fract_x
_atom_site_fract_y
_atom_site_fract_z
V1 V 0.0000 0.0000 0.0000
Mo1 Mo 0.5000 0.5000 0.5000
P1 P 0.0000 0.0000 0.5000
```

- Formation energy from the elements: 724.7 meV per atom



Record 16
## V2MoP (PBE)

Data for a geometry-optimized V2MoP structure.

```
data_V2MoP
_chemical_formula_sum 'V2 Mo1 P1'
_cell_length_a 3.1902
_cell_length_b 3.1902
_cell_length_c 5.3242
_cell_angle_alpha 90.00
_cell_angle_beta 90.00
_cell_angle_gamma 90.00
_space_group_name_H-M_alt 'P 4/m m m'
_space_group_IT_number 123
_space_group_name_Hall '-P 4 2'
loop_
_atom_site_label
_atom_site_type_symbol
_atom_site_fract_x
_atom_site_fract_y
_atom_site_fract_z
V1 V 0.0000 0.0000 0.2287
Mo1 Mo 0.5000 0.5000 0.5000
P1 P 0.5000 0.5000 0.0000
```

- Formation energy from the elements: -374.2 meV per atom



Record 17
## VMoP (PBE)

Data for a geometry-optimized VMoP structure.

```
data_VMoP
_chemical_formula_sum 'V8 Mo8 P8'
_cell_length_a 13.4754
_cell_length_b 3.0009
_cell_length_c 8.5687
_cell_angle_alpha 90.00
_cell_angle_beta 98.79
_cell_angle_gamma 90.00
_space_group_name_H-M_alt 'C 1 2/m 1'
_space_group_IT_number 12
loop_
_space_group_symop_operation_xyz
'x,y,z'
'-x,-y,-z'
'-x,y,-z'
'x,-y,z'
'x+1/2,y+1/2,z'
'-x+1/2,-y+1/2,-z'
'-x+1/2,y+1/2,-z'
'x+1/2,-y+1/2,z'
loop_
_atom_site_label
_atom_site_type_symbol
_atom_site_fract_x
_atom_site_fract_y
_atom_site_fract_z
V1 V 0.2319 0.0000 0.3689
V2 V 0.2433 0.5000 0.1250
Mo1 Mo 0.0601 0.5000 0.1642
Mo2 Mo 0.0802 0.0000 0.6586
P1 P 0.0996 0.5000 0.4417
P2 P 0.1204 0.5000 0.8956
```

- Formation energy from the elements: -317.0 meV per atom



Record 18
## VMo2P2 (PBE)

Data for a geometry-optimized VMo2P2 structure.

```
data_VMo2P2
_chemical_formula_sum 'V2 Mo4 P4'
_cell_length_a 6.5471
_cell_length_b 6.5471
_cell_length_c 3.2285
_cell_angle_alpha 90.00
_cell_angle_beta 90.00
_cell_angle_gamma 90.00
_space_group_name_H-M_alt 'P 4/m b m'
_space_group_IT_number 127
_space_group_name_Hall '-P 4 2ab'
loop_
_atom_site_label
_atom_site_type_symbol
_atom_site_fract_x
_atom_site_fract_y
_atom_site_fract_z
V1 V 0.0000 0.0000 0.0000
Mo1 Mo 0.1497 0.3503 0.5000
P1 P 0.1493 0.6493 0.0000
```

- Formation energy from the elements: -362.6 meV per atom



Record 19
## V4MoP (PBE)

Data for a geometry-optimized V4MoP structure.

```
data_V4MoP
_chemical_formula_sum 'V16 Mo4 P4'
_cell_length_a 6.8856
_cell_length_b 6.8856
_cell_length_c 8.4500
_cell_angle_alpha 90.00
_cell_angle_beta 90.00
_cell_angle_gamma 90.00
_space_group_name_H-M_alt 'I 41 m d'
_space_group_IT_number 109
_space_group_name_Hall 'I 4bw -2'
loop_
_atom_site_label
_atom_site_type_symbol
_atom_site_fract_x
_atom_site_fract_y
_atom_site_fract_z
V1 V 0.0000 0.3238 0.0000
V2 V 0.0000 0.3358 0.4884
Mo1 Mo 0.0000 0.0000 0.4979
P1 P 0.0000 0.0000 0.9902
```

- Formation energy from the elements: 569.4 meV per atom



Record 20
## YVMoP2 (PBE)

Data for a geometry-optimized YVMoP2 structure.

```
data_YVMoP2
_chemical_formula_sum 'Y1 V1 Mo1 P2'
_cell_length_a 4.6154
_cell_length_b 4.6154
_cell_length_c 4.4941
_cell_angle_alpha 90.00
_cell_angle_beta 90.00
_cell_angle_gamma 90.00
_space_group_name_H-M_alt 'P 4/m m m'
_space_group_IT_number 123
_space_group_name_Hall '-P 4 2'
loop_
_atom_site_label
_atom_site_type_symbol
_atom_site_fract_x
_atom_site_fract_y
_atom_site_fract_z
Y1 Y 0.0000 0.0000 0.0000
V1 V 0.5000 0.5000 0.5000
Mo1 Mo 0.5000 0.5000 0.0000
P1 P 0.0000 0.5000 0.5000
```

- Formation energy from the elements: 171.5 meV per atom